(A)
AlTl2Tc: optimized geometry, PBEsol.

The space group is P2/m (No. 10) and the conventional cell measures 3.0717, 5.0148 and 5.0713 Å, with angles of 90.00, 91.75 and 90.00 degrees. The asymmetric unit holds Al at (0.0000, 0.0000, 0.0000), Tl at (0.2447, 0.5000, 0.2537) and Tc at (0.5000, 0.0000, 0.5000).

The density of states at the Fermi level is 0.71 states/eV per atom. For the spin magnetization, the calculation gives 0.23 μB per atom. Its volume is 19.5 Å³ per atom. The value obtained for the theoretical density is 11.4 g/cm3.

=====

(B)
AlTl2Tc: optimized geometry, PBEsol.

The space group is I4/mmm (No. 139) and the conventional cell measures 4.1400, 4.1400 and 8.7067 Å, with angles of 90.00, 90.00 and 90.00 degrees. The asymmetric unit holds Al at (0.0000, 0.0000, 0.0000), Tl at (0.0000, 0.5000, 0.2500) and Tc at (0.0000, 0.0000, 0.5000).

The density of states at the Fermi level is 0.84 states/eV per atom. For the spin magnetization, the calculation gives 0.16 μB per atom. Its volume is 18.7 Å³ per atom. The value obtained for the theoretical density is 11.9 g/cm3.

=====

Here are the energies relative to the best structure, in eV/atom: (A) 0.027; (B) 0.000.

=====

(A)
ZrAl2Tc: optimized geometry, PBEsol.

The space group is R-3m (No. 166, hexagonal axes) and the conventional cell measures 2.9174, 2.9174 and 27.1142 Å, with angles of 90.00, 90.00 and 120.00 degrees. The asymmetric unit holds Zr at (0.0000, 0.0000, 0.0000), Al at (0.0000, 0.0000, 0.2403) and Tc at (0.0000, 0.0000, 0.5000).

The density of states at the Fermi level is 0.85 states/eV per atom. For the spin magnetization, the calculation gives 0.00 μB per atom. Its volume is 16.7 Å³ per atom. The value obtained for the theoretical density is 6.1 g/cm3.

=====

(B)
ZrAl2Tc: optimized geometry, PBEsol.

The space group is P4mm (No. 99) and the conventional cell measures 3.2903, 3.2903 and 6.0792 Å, with angles of 90.00, 90.00 and 90.00 degrees. The asymmetric unit holds Zr at (0.0000, 0.0000, 0.0000), Al at (0.0000, 0.0000, 0.5378), Al at (0.5000, 0.5000, 0.3022) and Tc at (0.5000, 0.5000, 0.7570).

The density of states at the Fermi level is 0.49 states/eV per atom. For the spin magnetization, the calculation gives 0.00 μB per atom. Its volume is 16.5 Å³ per atom. The value obtained for the theoretical density is 6.1 g/cm3.

=====

(C)
ZrAl2Tc: optimized geometry, PBEsol.

The space group is Pm (No. 6) and the conventional cell measures 2.9484, 4.3658 and 5.0798 Å, with angles of 90.00, 97.52 and 90.00 degrees. The asymmetric unit holds Zr at (0.0000, 0.0000, 0.0000), Al at (0.5493, 0.0000, 0.5092), Al at (0.5669, 0.5000, 0.2253) and Tc at (0.1842, 0.5000, 0.6995).

The density of states at the Fermi level is 0.60 states/eV per atom. For the spin magnetization, the calculation gives 0.00 μB per atom. Its volume is 16.2 Å³ per atom. The value obtained for the theoretical density is 6.2 g/cm3.

=====

Here are the energies relative to the best structure, in eV/atom: (A) 0.252; (B) 0.000; (C) 0.065.